AcAgSbRu | PBE | optimized geometry

Summary:
Symmetry: F-43m (216)
DOS(E_F), states/eV/cell: 5.62
Energy relative to the elements, uncorrected, eV/atom: -0.0168
Raw total energy, eV per atom: -5.106
Magnetic moment, μB per atom: 0.000

Unit cell a=5.0763 b=5.0763 c=5.0763 alpha=60.00 beta=60.00 gamma=60.00
Last column: nearest neighbours and their distance in Å.
Element x y z (fractional)
Ac (0.0000, 0.0000, 0.0000)  4 Ru 3.11, 4 Ag 3.11
Ag (0.7500, 0.7500, 0.7500)  4 Ac 3.11, 4 Sb 3.11
Sb (0.5000, 0.5000, 0.5000)  4 Ru 3.11, 4 Ag 3.11
Ru (0.2500, 0.2500, 0.2500)  4 Ac 3.11, 4 Sb 3.11